1.
Computed, not measured: a relaxed structure of Rb12Au3O5 at the PBE-GGA level of DFT.

```
80
Lattice="-9.067 9.067 9.067 9.067 -9.067 9.067 9.067 9.067 -9.067" Properties=species:S:1:pos:R:3 pbc="T T T"
Rb 2.662 -0.619 0.873
Rb 10.938 5.406 -5.152
Rb 11.729 0.619 0.873
Rb 10.938 -3.661 5.152
Rb 8.448 -0.873 2.662
Rb 14.219 -1.871 3.661
Rb 0.873 2.662 -0.619
Rb 12.728 3.915 -1.871
Rb 5.406 5.152 -1.871
Rb 8.194 2.662 0.619
Rb -0.619 0.873 2.662
Rb 5.152 -1.871 5.406
Rb 8.448 8.194 -2.662
Rb 5.152 1.871 3.661
Rb 5.406 -5.152 10.938
Rb 8.194 -2.662 8.448
Rb 3.661 5.152 1.871
Rb 9.940 6.405 0.619
Rb 5.152 10.938 -3.661
Rb 8.448 0.873 6.405
Rb 2.662 8.448 -0.873
Rb 10.938 3.661 3.915
Rb 1.871 3.661 5.152
Rb 2.662 0.619 8.194
Rb 6.405 8.448 0.873
Rb 7.196 5.406 3.915
Rb -1.871 5.406 5.152
Rb 6.405 0.619 9.940
Rb 0.619 8.194 2.662
Rb 3.915 -1.871 12.728
Rb -0.873 2.662 8.448
Rb 5.406 3.915 7.196
Rb 0.873 11.729 0.619
Rb 3.661 14.219 -1.871
Rb 3.915 7.196 5.406
Rb 0.619 0.873 11.729
Rb 3.915 10.938 3.661
Rb 9.686 8.194 6.405
Rb 0.873 6.405 8.448
Rb 3.661 3.915 10.938
Rb -3.661 5.152 10.938
Rb 8.194 6.405 9.686
Rb -5.152 10.938 5.406
Rb 0.619 9.940 6.405
Rb -1.871 12.728 3.915
Rb -2.662 8.448 8.194
Rb -1.871 3.661 14.219
Rb 6.405 9.686 8.194
Au 4.533 2.267 0.000
Au 9.067 4.533 -2.267
Au 2.267 0.000 4.533
Au 11.334 0.000 4.533
Au 0.000 4.533 2.267
Au 4.533 -2.267 9.067
Au 4.533 11.334 0.000
Au 9.067 4.533 6.800
Au -2.267 9.067 4.533
Au 6.800 9.067 4.533
Au 0.000 4.533 11.334
Au 4.533 6.800 9.067
O 0.000 0.000 0.000
O 4.533 4.533 -4.533
O 4.533 -4.533 4.533
O 9.067 0.000 0.000
O 13.600 2.267 0.000
O 9.067 -4.533 6.800
O 6.800 9.067 -4.533
O 6.800 0.000 4.533
O 4.533 6.800 0.000
O 9.067 4.533 2.267
O -4.533 4.533 4.533
O 0.000 9.067 0.000
O 0.000 0.000 9.067
O 4.533 4.533 4.533
O 0.000 4.533 6.800
O 4.533 2.267 9.067
O 2.267 9.067 4.533
O 2.267 0.000 13.600
O 0.000 13.600 2.267
O -4.533 6.800 9.067
```

energy relative to the elements, uncorrected	-0.71	eV/atom
density of states at the Fermi level	0.734	states/eV/atom
volume	2982	Å³/cell
DFT total energy	-3.024	eV/atom

***

2.
Computed, not measured: a relaxed structure of Rb7Au3O at the PBE-GGA level of DFT.

```
22
Lattice="7.968 -5.527 0.000 7.968 5.527 0.000 0.000 0.000 11.251" Properties=species:S:1:pos:R:3 pbc="T T T"
Rb 6.046 3.579 0.413
Rb 6.046 3.579 5.213
Rb 7.968 4.763 8.438
Rb 9.889 3.579 0.413
Rb 9.889 3.579 5.213
Rb 5.856 0.181 8.438
Rb 5.856 -0.181 2.813
Rb 10.080 0.181 8.438
Rb 10.080 -0.181 2.813
Rb 6.046 -3.579 6.038
Rb 6.046 -3.579 10.838
Rb 7.968 -4.763 2.813
Rb 9.889 -3.579 6.038
Rb 9.889 -3.579 10.838
Au 3.480 2.247 2.813
Au 3.480 -2.247 8.438
Au 7.968 0.000 0.000
Au 7.968 0.000 5.626
Au 12.455 2.247 2.813
Au 12.455 -2.247 8.438
O 0.000 0.000 0.000
O 0.000 0.000 5.626
```

energy relative to the elements, uncorrected	-0.41	eV/atom
density of states at the Fermi level	0.654	states/eV/atom
volume	991	Å³/cell
DFT total energy	-2.370	eV/atom